[1]
Below is a relaxed ZnCl2O crystal, with properties calculated at the PBE level. Values from VASP.

Summary:
- E (eV per atom) = -2.598
- DOS(E_F) (states/eV/f.u.) = 0.0

The structure in Quantum ESPRESSO input format:
```
&SYSTEM
  ibrav = 0, nat = 8, ntyp = 3
/
ATOMIC_SPECIES
Zn 65.41 Zn.upf
O 16.00 O.upf
Cl 35.45 Cl.upf
CELL_PARAMETERS angstrom
-6.369 1.408 -0.808
-1.604 -4.948 4.017
-3.813 1.041 5.135
ATOMIC_POSITIONS crystal
Zn 0.000 0.000 0.000
Zn 0.750 0.250 0.500
O 0.500 0.500 0.000
O 0.250 0.750 0.500
Cl 0.699 0.125 0.250
Cl 0.051 0.625 0.250
Cl 0.375 0.301 0.750
Cl 0.875 0.949 0.750
```

[2]
Below is a relaxed Zn2Cl2O crystal, with properties calculated at the PBE level. Values from VASP.

Summary:
- E (eV per atom) = -3.328
- DOS(E_F) (states/eV/f.u.) = 0.0

The structure in Quantum ESPRESSO input format:
```
&SYSTEM
  ibrav = 0, nat = 10, ntyp = 3
/
ATOMIC_SPECIES
Zn 65.41 Zn.upf
Cl 35.45 Cl.upf
O 16.00 O.upf
CELL_PARAMETERS angstrom
0.178 5.870 -2.252
5.274 -1.365 -3.143
-5.501 -3.712 -1.325
ATOMIC_POSITIONS crystal
Zn 0.125 0.375 0.250
Zn 0.125 0.875 0.750
Zn 0.625 0.875 0.750
Zn 0.125 0.875 0.250
Cl 0.700 0.700 0.399
Cl 0.950 0.450 0.899
Cl 0.300 0.300 0.601
Cl 0.550 0.050 0.101
O 0.000 0.000 0.000
O 0.250 0.750 0.500
```

[3]
Below is a relaxed Zr3ClO crystal, with properties calculated at the PBE level. Values from VASP.

Summary:
- E (eV per atom) = -7.156
- DOS(E_F) (states/eV/f.u.) = 5.9

The structure in Quantum ESPRESSO input format:
```
&SYSTEM
  ibrav = 0, nat = 5, ntyp = 3
/
ATOMIC_SPECIES
O 16.00 O.upf
Zr 91.22 Zr.upf
Cl 35.45 Cl.upf
CELL_PARAMETERS angstrom
4.509 0.000 0.000
0.000 4.509 0.000
0.000 0.000 4.509
ATOMIC_POSITIONS crystal
O 0.000 0.000 0.000
Zr 0.000 0.500 0.000
Zr 0.000 0.000 0.500
Zr 0.500 0.000 0.000
Cl 0.500 0.500 0.500
```

[4]
Below is a relaxed ZrClO2 crystal, with properties calculated at the PBE level. Values from VASP.

Summary:
- E (eV per atom) = -7.120
- DOS(E_F) (states/eV/f.u.) = 8.6

The structure in Quantum ESPRESSO input format:
```
&SYSTEM
  ibrav = 0, nat = 8, ntyp = 3
/
ATOMIC_SPECIES
O 16.00 O.upf
Zr 91.22 Zr.upf
Cl 35.45 Cl.upf
CELL_PARAMETERS angstrom
-2.652 1.062 5.782
3.983 -4.341 2.624
3.731 1.658 5.004
ATOMIC_POSITIONS crystal
O 0.872 0.125 0.250
O 0.878 0.625 0.250
O 0.375 0.128 0.750
O 0.875 0.122 0.750
Zr 0.000 0.000 0.000
Zr 0.750 0.250 0.500
Cl 0.500 0.500 0.000
Cl 0.250 0.750 0.500
```

[5]
Below is a relaxed ZrClO2 crystal, with properties calculated at the PBE level. Values from VASP.

Summary:
- E (eV per atom) = -7.152
- DOS(E_F) (states/eV/f.u.) = 3.5

The structure in Quantum ESPRESSO input format:
```
&SYSTEM
  ibrav = 0, nat = 4, ntyp = 3
/
ATOMIC_SPECIES
O 16.00 O.upf
Zr 91.22 Zr.upf
Cl 35.45 Cl.upf
CELL_PARAMETERS angstrom
1.877 0.000 8.223
-0.939 1.626 8.223
-0.939 -1.626 8.223
ATOMIC_POSITIONS crystal
O 0.873 0.873 0.873
O 0.127 0.127 0.127
Zr 0.500 0.500 0.500
Cl 0.000 0.000 0.000
```

[6]
Below is a relaxed Zr2ClO crystal, with properties calculated at the PBE level. Values from VASP.

Summary:
- E (eV per atom) = -6.789
- DOS(E_F) (states/eV/f.u.) = 3.8

The structure in Quantum ESPRESSO input format:
```
&SYSTEM
  ibrav = 0, nat = 4, ntyp = 3
/
ATOMIC_SPECIES
O 16.00 O.upf
Zr 91.22 Zr.upf
Cl 35.45 Cl.upf
CELL_PARAMETERS angstrom
0.000 3.106 3.106
3.106 0.000 3.106
3.106 3.106 0.000
ATOMIC_POSITIONS crystal
O 0.000 0.000 0.000
Zr 0.250 0.250 0.250
Zr 0.750 0.750 0.750
Cl 0.500 0.500 0.500
```

[7]
Below is a relaxed ZrClO2 crystal, with properties calculated at the PBE level. Values from VASP.

Summary:
- E (eV per atom) = -6.236
- DOS(E_F) (states/eV/f.u.) = 3.6

The structure in Quantum ESPRESSO input format:
```
&SYSTEM
  ibrav = 0, nat = 4, ntyp = 3
/
ATOMIC_SPECIES
O 16.00 O.upf
Zr 91.22 Zr.upf
Cl 35.45 Cl.upf
CELL_PARAMETERS angstrom
0.000 2.869 2.869
2.869 0.000 2.869
2.869 2.869 0.000
ATOMIC_POSITIONS crystal
O 0.250 0.250 0.250
O 0.750 0.750 0.750
Zr 0.500 0.500 0.500
Cl 0.000 0.000 0.000
```

[8]
Below is a relaxed Zr2ClO crystal, with properties calculated at the PBE level. Values from VASP.

Summary:
- E (eV per atom) = -7.200
- DOS(E_F) (states/eV/f.u.) = 3.6

The structure in Quantum ESPRESSO input format:
```
&SYSTEM
  ibrav = 0, nat = 8, ntyp = 3
/
ATOMIC_SPECIES
O 16.00 O.upf
Zr 91.22 Zr.upf
Cl 35.45 Cl.upf
CELL_PARAMETERS angstrom
5.392 0.000 0.000
0.000 5.392 0.000
2.696 2.696 5.593
ATOMIC_POSITIONS crystal
O 0.500 0.500 0.000
O 0.250 0.750 0.500
Zr 0.539 0.125 0.250
Zr 0.211 0.625 0.250
Zr 0.375 0.461 0.750
Zr 0.875 0.789 0.750
Cl 0.000 0.000 0.000
Cl 0.750 0.250 0.500
```